Tc2SeBr | PBE-GGA | relaxed

Cell and atoms, written as POSCAR:
```
Tc2SeBr
1.0
1.533 0.885 9.841
-1.533 0.885 9.841
0.000 -1.770 9.841
Tc Se Br
2 1 1
direct
0.000 0.000 0.000 Tc
0.260 0.260 0.260 Tc
0.534 0.534 0.534 Se
0.731 0.731 0.731 Br
```

Values from the calculation:
Formation energy without anion corrections ... 166 meV per atom
Energy relative to the lowest polymorph listed for this composition ... 0.058 eV/atom

***

TcSe2Br | PBE-GGA | relaxed

Cell and atoms, written as POSCAR:
```
TcSe2Br
1.0
6.866 0.000 0.000
0.000 9.290 0.000
0.000 0.000 7.075
Tc Se Br
4 8 4
direct
0.099 0.107 0.000 Tc
0.401 0.607 0.500 Tc
0.599 0.393 0.000 Tc
0.901 0.893 0.500 Tc
0.110 0.915 0.220 Se
0.165 0.765 0.638 Se
0.335 0.265 0.138 Se
0.390 0.415 0.720 Se
0.610 0.585 0.220 Se
0.665 0.735 0.638 Se
0.835 0.235 0.138 Se
0.890 0.085 0.720 Se
0.122 0.494 0.312 Br
0.378 0.994 0.812 Br
0.622 0.006 0.312 Br
0.878 0.506 0.812 Br
```

Values from the calculation:
Formation energy without anion corrections ... -95 meV per atom
Energy relative to the lowest polymorph listed for this composition ... 0.265 eV/atom

***

TcSeBr2 | PBE-GGA | relaxed

Cell and atoms, written as POSCAR:
```
TcSeBr2
1.0
-1.572 2.234 7.491
1.572 -2.234 7.491
1.572 2.234 -7.491
Tc Se Br
1 1 2
direct
0.000 0.000 0.000 Tc
0.500 0.500 0.000 Se
0.141 0.641 0.500 Br
0.859 0.359 0.500 Br
```

Values from the calculation:
Formation energy without anion corrections ... 148 meV per atom
Energy relative to the lowest polymorph listed for this composition ... 0.294 eV/atom

***

TcSe2Br | PBE-GGA | relaxed

Cell and atoms, written as POSCAR:
```
TcSe2Br
1.0
3.500 -6.149 0.000
3.500 6.149 0.000
-1.165 0.000 5.459
Tc Se Br
2 4 2
direct
0.020 0.980 0.750 Tc
0.980 0.020 0.250 Tc
0.087 0.301 0.601 Se
0.301 0.087 0.101 Se
0.699 0.913 0.899 Se
0.913 0.699 0.399 Se
0.320 0.680 0.250 Br
0.680 0.320 0.750 Br
```

Values from the calculation:
Formation energy without anion corrections ... -166 meV per atom
Energy relative to the lowest polymorph listed for this composition ... 0.194 eV/atom

***

Tc2SeBr | PBE-GGA | relaxed

Cell and atoms, written as POSCAR:
```
Tc2SeBr
1.0
0.000 3.247 3.247
3.247 0.000 3.247
3.247 3.247 0.000
Tc Se Br
2 1 1
direct
0.000 0.000 0.000 Tc
0.250 0.250 0.250 Tc
0.750 0.750 0.750 Se
0.500 0.500 0.500 Br
```

Values from the calculation:
Formation energy without anion corrections ... 1014 meV per atom
Energy relative to the lowest polymorph listed for this composition ... 0.906 eV/atom

***

TcSeBr2 | PBE-GGA | relaxed

Cell and atoms, written as POSCAR:
```
TcSeBr2
1.0
1.638 0.946 10.036
-1.638 0.946 10.036
0.000 -1.892 10.036
Tc Se Br
1 1 2
direct
0.000 0.000 0.000 Tc
0.500 0.500 0.500 Se
0.275 0.275 0.275 Br
0.725 0.725 0.725 Br
```

Values from the calculation:
Formation energy without anion corrections ... 364 meV per atom
Energy relative to the lowest polymorph listed for this composition ... 0.510 eV/atom

***

Which of these has the lowest energy relative to the lowest polymorph listed for this composition? number 1